# 1
A plane-wave DFT calculation with PBE was carried out for a relaxed Nd6InTe3 crystal. Values from VASP.

Summary:
Crystal system = monoclinic
Symmetry = P2_1/m (11)
VASP energy = -98.958 eV per cell
Energy relative to the elements, uncorrected = -0.8708 eV/atom

```
&SYSTEM
  ibrav = 0, nat = 20, ntyp = 3
/
ATOMIC_SPECIES
Nd 144.24 Nd.upf
In 114.82 In.upf
Te 127.60 Te.upf
CELL_PARAMETERS angstrom
-0.266 3.921 1.523
-12.339 0.245 -2.785
0.768 -4.711 12.259
ATOMIC_POSITIONS crystal
Nd 0.750 0.497 0.647
Nd 0.250 0.503 0.353
Nd 0.750 0.923 0.110
Nd 0.250 0.077 0.890
Nd 0.750 0.397 0.093
Nd 0.250 0.603 0.907
Nd 0.750 0.743 0.286
Nd 0.250 0.257 0.714
Nd 0.750 0.120 0.467
Nd 0.250 0.880 0.533
Nd 0.750 0.798 0.747
Nd 0.250 0.202 0.253
In 0.750 0.044 0.692
In 0.250 0.956 0.308
Te 0.750 0.412 0.856
Te 0.250 0.588 0.144
Te 0.750 0.670 0.501
Te 0.250 0.330 0.499
Te 0.750 0.150 0.070
Te 0.250 0.850 0.930
```

# 2
A plane-wave DFT calculation with PBE was carried out for a relaxed Nd6In2Te crystal. Values from VASP.

Summary:
Crystal system = orthorhombic
Symmetry = Amm2 (38)
VASP energy = -41.881 eV per cell
Energy relative to the elements, uncorrected = -0.5173 eV/atom

```
&SYSTEM
  ibrav = 0, nat = 9, ntyp = 3
/
ATOMIC_SPECIES
Nd 144.24 Nd.upf
In 114.82 In.upf
Te 127.60 Te.upf
CELL_PARAMETERS angstrom
4.188 0.000 0.000
0.000 8.872 0.000
0.000 -4.436 7.681
ATOMIC_POSITIONS crystal
Nd 0.500 0.604 0.000
Nd 0.500 0.396 0.396
Nd 0.500 0.000 0.604
Nd 0.000 0.276 0.000
Nd 0.000 0.725 0.725
Nd 0.000 0.000 0.275
In 0.000 0.333 0.666
In 0.000 0.667 0.334
Te 0.500 0.000 0.000
```

# 3
A plane-wave DFT calculation with PBE was carried out for a relaxed Nd4InTe3 crystal. Values from VASP.

Summary:
Crystal system = orthorhombic
E above lowest polymorph = 0.0 meV per atom
Symmetry = Fmmm (69)
VASP energy = -40.962 eV per cell
Energy relative to the elements, uncorrected = -1.2159 eV/atom

```
&SYSTEM
  ibrav = 0, nat = 8, ntyp = 3
/
ATOMIC_SPECIES
Te 127.60 Te.upf
Nd 144.24 Nd.upf
In 114.82 In.upf
CELL_PARAMETERS angstrom
-5.327 0.861 -3.398
-0.495 -6.302 -0.841
-0.559 2.282 7.449
ATOMIC_POSITIONS crystal
Te 0.500 0.500 0.000
Te 0.750 0.250 0.500
Te 0.250 0.750 0.500
Nd 0.000 0.500 0.000
Nd 0.500 0.000 0.000
Nd 0.248 0.248 0.496
Nd 0.752 0.752 0.504
In 0.000 0.000 0.000
```

# 4
A plane-wave DFT calculation with PBE was carried out for a relaxed NdIn3Te6 crystal. Values from VASP.

Summary:
Crystal system = monoclinic
Symmetry = P2_1/m (11)
VASP energy = -74.133 eV per cell
Energy relative to the elements, uncorrected = -0.5233 eV/atom

```
&SYSTEM
  ibrav = 0, nat = 20, ntyp = 3
/
ATOMIC_SPECIES
Nd 144.24 Nd.upf
In 114.82 In.upf
Te 127.60 Te.upf
CELL_PARAMETERS angstrom
4.436 0.000 0.000
0.000 12.101 -4.555
0.000 -0.216 12.292
ATOMIC_POSITIONS crystal
Nd 0.750 0.054 0.708
Nd 0.250 0.946 0.292
In 0.750 0.442 0.835
In 0.250 0.558 0.165
In 0.750 0.703 0.473
In 0.250 0.297 0.527
In 0.750 0.171 0.099
In 0.250 0.829 0.901
Te 0.750 0.457 0.604
Te 0.250 0.543 0.396
Te 0.750 0.932 0.089
Te 0.250 0.068 0.911
Te 0.750 0.395 0.061
Te 0.250 0.605 0.939
Te 0.750 0.747 0.259
Te 0.250 0.253 0.741
Te 0.750 0.100 0.465
Te 0.250 0.900 0.535
Te 0.750 0.803 0.732
Te 0.250 0.197 0.268
```

# 5
A plane-wave DFT calculation with PBE was carried out for a relaxed Nd2InTe crystal. Values from VASP.

Summary:
Crystal system = trigonal
E above lowest polymorph = 74.3 meV per atom
Symmetry = R-3m (166)
VASP energy = -19.046 eV per cell
Energy relative to the elements, uncorrected = -0.9077 eV/atom

```
&SYSTEM
  ibrav = 0, nat = 4, ntyp = 3
/
ATOMIC_SPECIES
Te 127.60 Te.upf
Nd 144.24 Nd.upf
In 114.82 In.upf
CELL_PARAMETERS angstrom
4.315 0.000 0.000
2.158 3.737 0.000
2.158 1.246 8.063
ATOMIC_POSITIONS crystal
Te 0.500 0.500 0.500
Nd 0.752 0.752 0.745
Nd 0.248 0.248 0.255
In 0.000 0.000 0.000
```

# 6
A plane-wave DFT calculation with PBE was carried out for a relaxed Nd4InTe crystal. Values from VASP.

Summary:
Crystal system = orthorhombic
Symmetry = Cmcm (63)
VASP energy = -56.147 eV per cell
Energy relative to the elements, uncorrected = -0.5203 eV/atom

```
&SYSTEM
  ibrav = 0, nat = 12, ntyp = 3
/
ATOMIC_SPECIES
Nd 144.24 Nd.upf
In 114.82 In.upf
Te 127.60 Te.upf
CELL_PARAMETERS angstrom
-2.860 2.177 4.515
2.627 -4.578 3.872
9.936 5.615 -0.103
ATOMIC_POSITIONS crystal
Nd 0.873 0.322 0.745
Nd 0.127 0.822 0.255
Nd 0.433 0.823 0.865
Nd 0.567 0.323 0.135
Nd 0.714 0.568 0.428
Nd 0.286 0.068 0.572
Nd 0.714 0.076 0.428
Nd 0.286 0.576 0.572
In 0.849 0.822 0.699
In 0.151 0.322 0.301
Te 0.574 0.823 0.149
Te 0.426 0.323 0.851
```